The following is a DFT calculation (PBE) of a relaxed structure of Cs2Rb4H5.

Properties
crystal system	trigonal
space-group type	R-3m (166)

Lattice parameters (Å, degrees): 4.680 4.680 21.297 83.69 83.69 60.00
Fractional positions:
H 0.777 0.777 0.670
Rb 0.583 0.583 0.251
H 0.500 0.500 0.500
Cs 0.862 0.862 0.415
Rb 0.690 0.690 0.929
H 0.643 0.643 0.072
Cs 0.138 0.138 0.585
H 0.223 0.223 0.330
H 0.357 0.357 0.928
Rb 0.310 0.310 0.071
Rb 0.417 0.417 0.749



The following is a DFT calculation (PBE) of a relaxed structure of Cs12RbH3.

Properties
crystal system	trigonal
space-group type	R3c (161)

Lattice parameters (Å, degrees): 15.220 15.220 16.958 63.34 63.34 60.00
Fractional positions:
H 0.969 0.686 0.992
H 0.853 0.186 0.492
Cs 0.603 0.967 0.448
Rb 0.544 0.544 0.369
H 0.353 0.969 0.992
Rb 0.044 0.044 0.869
Cs 0.370 0.767 0.141
H 0.186 0.469 0.492
Cs 0.267 0.870 0.641
Cs 0.324 0.384 0.328
Cs 0.464 0.884 0.828
H 0.469 0.853 0.492
Cs 0.103 0.481 0.948
Cs 0.824 0.464 0.828
H 0.686 0.353 0.992
Cs 0.767 0.723 0.141
Cs 0.207 0.595 0.572
Cs 0.981 0.603 0.448
Cs 0.870 0.223 0.641
Cs 0.223 0.267 0.641
Cs 0.627 0.207 0.572
Cs 0.467 0.103 0.948
Cs 0.384 0.964 0.328
Cs 0.481 0.467 0.948
Cs 0.964 0.324 0.328
Cs 0.595 0.627 0.572
Cs 0.884 0.824 0.828
Cs 0.723 0.370 0.141
Cs 0.095 0.707 0.072
Cs 0.707 0.127 0.072
Cs 0.127 0.095 0.072
Cs 0.967 0.981 0.448



The following is a DFT calculation (PBE) of a relaxed structure of Cs6Rb9H.

Properties
crystal system	tetragonal
space-group type	I4/m (87)

Lattice parameters (Å, degrees): 11.292 11.292 13.633 114.47 114.47 90.00
Fractional positions:
Cs 0.847 0.847 0.694
Cs 0.153 0.153 0.306
Rb 0.624 0.414 0.658
Cs 0.095 0.717 0.000
Cs 0.905 0.283 0.000
Rb 0.034 0.244 0.658
Cs 0.717 0.905 0.000
Rb 0.414 0.034 0.658
Rb 0.756 0.376 0.342
Cs 0.283 0.095 0.000
Rb 0.500 0.500 0.000
Rb 0.376 0.586 0.342
Rb 0.586 0.966 0.342
H 0.000 0.000 0.000
Rb 0.966 0.756 0.342
Rb 0.244 0.624 0.658



The following is a DFT calculation (PBE) of a relaxed structure of Cs8Rb3H.

Properties
crystal system	hexagonal
space-group type	P6_3mc (186)

Lattice parameters (Å, degrees): 12.444 14.900 14.900 120.00 90.00 90.00
Fractional positions:
H 0.425 0.667 0.333
Rb 0.227 0.853 0.707
Cs 0.487 0.000 0.000
Cs 0.685 0.333 0.667
Rb 0.227 0.293 0.147
Cs 0.185 0.667 0.333
Cs 0.337 0.585 0.793
Cs 0.337 0.207 0.415
Rb 0.227 0.853 0.147
Cs 0.495 0.889 0.445
Cs 0.837 0.793 0.585
Cs 0.495 0.555 0.445
Cs 0.337 0.207 0.793
Rb 0.727 0.707 0.853
Rb 0.727 0.147 0.853
Cs 0.995 0.445 0.889
Cs 0.987 0.000 0.000
Cs 0.995 0.111 0.555
Cs 0.837 0.793 0.207
Cs 0.837 0.415 0.207
Cs 0.495 0.555 0.111
Rb 0.727 0.147 0.293
H 0.925 0.333 0.667
Cs 0.995 0.445 0.555



The following is a DFT calculation (PBE) of a relaxed structure of Cs4RbH4.

Properties
crystal system	tetragonal
space-group type	I4/m (87)

Lattice parameters (Å, degrees): 6.436 7.892 7.894 80.43 65.94 65.94
Fractional positions:
Cs 0.187 0.202 0.424
Cs 0.389 0.423 0.798
H 0.706 0.195 0.392
Rb 0.000 0.000 0.000
H 0.294 0.805 0.608
H 0.098 0.609 0.194
Cs 0.611 0.577 0.202
H 0.902 0.391 0.806
Cs 0.813 0.798 0.576



The following is a DFT calculation (PBE) of a relaxed structure of Cs2RbH8.

Properties
crystal system	monoclinic
space-group type	C2/m (12)

Lattice parameters (Å, degrees): 5.476 6.176 9.776 108.71 106.26 90.00
Fractional positions:
Cs 0.831 0.449 0.662
H 0.690 0.986 0.381
Cs 0.169 0.551 0.338
H 0.310 0.014 0.619
H 0.707 0.889 0.415
H 0.005 0.567 0.010
Rb 0.500 0.000 0.000
H 0.995 0.433 0.990
H 0.659 0.336 0.318
H 0.341 0.664 0.682
H 0.293 0.111 0.585



The following is a DFT calculation (PBE) of a relaxed structure of Cs6Rb2H.

Properties
crystal system	monoclinic
space-group type	P2_1/c (14)

Lattice parameters (Å, degrees): 10.675 12.178 11.991 90.00 90.00 90.23
Fractional positions:
Rb 0.500 0.787 0.000
Cs 0.269 0.000 0.300
Cs 0.999 0.231 0.000
Cs 0.770 0.500 0.801
H 0.000 0.500 0.000
Rb 0.000 0.713 0.500
Cs 0.001 0.769 0.000
Cs 0.230 0.500 0.199
Cs 0.270 0.000 0.699
Rb 0.500 0.213 0.000
Cs 0.769 0.500 0.200
Cs 0.501 0.269 0.500
Cs 0.231 0.500 0.800
Cs 0.730 0.000 0.301
Cs 0.499 0.731 0.500
H 0.500 0.000 0.500
Cs 0.731 0.000 0.700
Rb 0.000 0.287 0.500



The following is a DFT calculation (PBE) of a relaxed structure of Cs8Rb3H2.

Properties
crystal system	trigonal
space-group type	R-3m (166)

Lattice parameters (Å, degrees): 10.084 10.084 14.432 69.55 69.55 60.00
Fractional positions:
Cs 0.740 0.278 0.705
H 0.403 0.403 0.791
H 0.597 0.597 0.209
Cs 0.672 0.672 0.985
Cs 0.722 0.260 0.295
Cs 0.278 0.278 0.705
Rb 0.801 0.801 0.598
Rb 0.000 0.000 0.000
Cs 0.722 0.722 0.295
Cs 0.328 0.328 0.015
Cs 0.278 0.740 0.705
Cs 0.260 0.722 0.295
Rb 0.199 0.199 0.402



The following is a DFT calculation (PBE) of a relaxed structure of Cs4Rb2H.

Properties
crystal system	tetragonal
space-group type	I4/mmm (139)

Lattice parameters (Å, degrees): 6.585 6.585 13.835 76.23 76.23 90.00
Fractional positions:
Cs 0.126 0.126 0.747
Cs 0.000 0.500 0.000
H 0.000 0.000 0.000
Rb 0.687 0.687 0.626
Cs 0.874 0.874 0.253
Rb 0.313 0.313 0.374
Cs 0.500 0.000 0.000



The following is a DFT calculation (PBE) of a relaxed structure of Cs2Rb2H6Rh.

Properties
crystal system	monoclinic
space-group type	C2/m (12)

Lattice parameters (Å, degrees): 6.561 6.561 7.054 92.68 92.68 116.94
Fractional positions:
Rh 0.000 0.000 0.500
Cs 0.158 0.842 0.000
Rb 0.345 0.655 0.500
H 0.764 0.977 0.375
H 0.977 0.764 0.375
H 0.023 0.236 0.625
H 0.166 0.166 0.335
H 0.834 0.834 0.665
H 0.236 0.023 0.625
Rb 0.655 0.345 0.500
Cs 0.842 0.158 0.000



The following is a DFT calculation (PBE) of a relaxed structure of Cs2RbH6Ru.

Properties
crystal system	cubic
space-group type	Fm-3m (225)

Lattice parameters (Å, degrees): 6.382 6.382 6.382 60.00 60.00 60.00
Fractional positions:
Cs 0.750 0.750 0.750
H 0.193 0.807 0.807
H 0.193 0.807 0.193
Rb 0.500 0.500 0.500
H 0.807 0.807 0.193
Ru 0.000 0.000 0.000
H 0.807 0.193 0.807
H 0.193 0.193 0.807
H 0.807 0.193 0.193
Cs 0.250 0.250 0.250



The following is a DFT calculation (PBE) of a relaxed structure of CsRb2HS.

Properties
crystal system	tetragonal
space-group type	P4/mmm (123)

Lattice parameters (Å, degrees): 5.428 5.428 5.657 90.00 90.00 90.00
Fractional positions:
Cs 0.000 0.000 0.500
Rb 0.500 0.000 0.000
Rb 0.000 0.500 0.000
H 0.000 0.000 0.000
S 0.500 0.500 0.500



Listing final energy for the structures above in their given order: -2.10, -1.32, -1.08, -1.07, -2.08, -2.70, -1.16, -1.28, -1.23, -3.01, -3.34, -2.61 eV per atom.
Listing volume for the structures above in their given order: 400.7, 2909.6, 1409.1, 2392.7, 334.3, 299.1, 1558.7, 1162.8, 564.8, 269.7, 183.8, 166.7 Å³/cell.
Listing total magnetic moment for the structures above in their given order: 0.8, 0.0, 0.0, 0.0, 1.0, 0.6, 0.0, 0.0, 0.0, 0.8, 1.0, 0.0 Bohr magnetons per cell.